A plane-wave DFT calculation with PBE was carried out for an optimized crystal structure of Cu3Sb2Pd4.

The structure in POSCAR format:
```
Cu3Sb2Pd4
1.0
4.0661 -0.0025 -0.0075
2.0283 4.1384 1.0839
-0.0169 0.1252 8.4272
Cu Sb Pd
3 2 4
Direct
0.3452 0.3090 0.4511 Cu
0.0000 0.0000 0.0000 Cu
0.6548 0.6910 0.5489 Cu
0.3176 0.3638 0.7665 Sb
0.6824 0.6362 0.2335 Sb
0.6598 0.6806 0.8958 Pd
0.0127 0.9749 0.3331 Pd
0.9873 0.0251 0.6669 Pd
0.3402 0.3194 0.1042 Pd
```

Values from the calculation:
* calculated volume: 141.29 Å³ per cell
* SG: No. 2
* uncorrected energy: -4.84 eV per atom

***

A plane-wave DFT calculation with PBE was carried out for an optimized crystal structure of Cu2SbPd2.

The structure in POSCAR format:
```
Cu2SbPd2
1.0
4.3768 0.0015 0.0010
2.1876 3.7909 0.0010
2.1872 1.2636 4.6517
Cu Sb Pd
2 1 2
Direct
0.1903 0.6903 0.4289 Cu
0.8097 0.3097 0.5711 Cu
0.0000 0.5000 0.0000 Sb
0.6011 0.1011 0.1967 Pd
0.3989 0.8989 0.8033 Pd
```

Values from the calculation:
* energy relative to the lowest polymorph listed for this composition: 0 kJ/mol of formula units
* calculated volume: 77.15 Å³ per cell
* SG: No. 166
* uncorrected energy: -4.74 eV per atom

***

A plane-wave DFT calculation with PBE was carried out for an optimized crystal structure of Cu2SbPd3.

The structure in POSCAR format:
```
Cu2SbPd3
1.0
-3.4371 -0.5586 -2.3330
-5.1302 -1.2156 4.0839
-1.3400 6.8167 0.3448
Cu Sb Pd
4 2 6
Direct
0.0000 0.0000 0.0000 Cu
0.0000 0.0000 0.5000 Cu
0.3284 0.3431 0.5000 Cu
0.6716 0.6569 0.5000 Cu
0.3518 0.2963 0.0000 Sb
0.6482 0.7037 0.0000 Sb
0.8341 0.3322 0.7429 Pd
0.4997 0.0000 0.2809 Pd
0.1659 0.6678 0.2571 Pd
0.8337 0.3322 0.2571 Pd
0.1663 0.6678 0.7429 Pd
0.5003 0.0000 0.7191 Pd
```

Values from the calculation:
* energy relative to the lowest polymorph listed for this composition: 21 kJ/mol of formula units
* calculated volume: 184.58 Å³ per cell
* SG: No. 65
* uncorrected energy: -4.87 eV per atom

***

A plane-wave DFT calculation with PBE was carried out for an optimized crystal structure of Cu2SbPd5.

The structure in POSCAR format:
```
Cu2SbPd5
1.0
-0.9155 2.3488 6.0949
1.1171 -6.0075 2.4829
5.4913 3.0258 -3.9100
Cu Sb Pd
4 2 10
Direct
0.1360 0.3640 0.0000 Cu
0.6360 0.1360 0.0000 Cu
0.3640 0.8640 0.0000 Cu
0.8640 0.6360 0.0000 Cu
0.7500 0.7500 0.5000 Sb
0.2500 0.2500 0.5000 Sb
0.5015 0.6909 0.6924 Pd
0.8091 0.9985 0.3076 Pd
0.0000 0.0000 0.0000 Pd
0.5000 0.5000 0.0000 Pd
0.1909 0.0015 0.6924 Pd
0.6909 0.1909 0.6924 Pd
0.0015 0.5015 0.6924 Pd
0.3091 0.8091 0.3076 Pd
0.9985 0.4985 0.3076 Pd
0.4985 0.3091 0.3076 Pd
```

Values from the calculation:
* energy relative to the lowest polymorph listed for this composition: 49 kJ/mol of formula units
* calculated volume: 249.32 Å³ per cell
* SG: No. 140
* uncorrected energy: -4.99 eV per atom

***

A plane-wave DFT calculation with PBE was carried out for an optimized crystal structure of Cu2SbPd8.

The structure in POSCAR format:
```
Cu2SbPd8
1.0
-2.8138 3.7228 0.2516
-1.3084 0.3832 6.4949
4.2329 4.9158 1.3999
Cu Sb Pd
2 1 8
Direct
0.4605 0.1539 0.1539 Cu
0.5395 0.8461 0.8461 Cu
0.0000 0.0000 0.0000 Sb
0.7918 0.1524 0.6703 Pd
0.2082 0.3297 0.8476 Pd
0.8914 0.2709 0.2709 Pd
0.1086 0.7291 0.7291 Pd
0.7918 0.6703 0.1524 Pd
0.2082 0.8476 0.3297 Pd
0.2965 0.4258 0.4258 Pd
0.7035 0.5742 0.5742 Pd
```

Values from the calculation:
* energy relative to the lowest polymorph listed for this composition: 359 kJ/mol of formula units
* calculated volume: 195.47 Å³ per cell
* SG: No. 12
* uncorrected energy: -4.76 eV per atom

***

A plane-wave DFT calculation with PBE was carried out for an optimized crystal structure of CuSb4Pd.

The structure in POSCAR format:
```
CuSb4Pd
1.0
-2.8232 4.5093 3.8132
-5.8941 -2.4916 -1.4173
0.4681 -4.0020 5.0887
Cu Sb Pd
2 8 2
Direct
0.5000 0.0000 0.5000 Cu
0.0000 0.5000 0.5000 Cu
0.8719 0.6277 0.1290 Sb
0.6281 0.1277 0.8710 Sb
0.3707 0.3674 0.3749 Sb
0.1293 0.8674 0.6251 Sb
0.1281 0.3723 0.8710 Sb
0.3719 0.8723 0.1290 Sb
0.6293 0.6326 0.6251 Sb
0.8707 0.1326 0.3749 Sb
0.0000 0.0000 0.0000 Pd
0.5000 0.5000 0.0000 Pd
```

Values from the calculation:
* calculated volume: 278.46 Å³ per cell
* SG: No. 14
* uncorrected energy: -4.43 eV per atom

***

A plane-wave DFT calculation with PBE was carried out for an optimized crystal structure of CuSbPd5.

The structure in POSCAR format:
```
CuSbPd5
1.0
-0.3524 3.2596 3.2094
2.8855 -1.5338 3.2204
8.4752 5.7137 -4.8728
Cu Sb Pd
2 2 10
Direct
0.4024 0.5976 0.7500 Cu
0.5976 0.4024 0.2500 Cu
0.0000 0.0000 0.0000 Sb
0.0000 0.0000 0.5000 Sb
0.4563 0.1215 0.8825 Pd
0.5437 0.8786 0.3825 Pd
0.1215 0.4563 0.3825 Pd
0.9667 0.0333 0.7500 Pd
0.1214 0.4563 0.1175 Pd
0.8786 0.5437 0.8825 Pd
0.0333 0.9667 0.2500 Pd
0.8785 0.5437 0.6175 Pd
0.4563 0.1214 0.6175 Pd
0.5437 0.8785 0.1175 Pd
```

Values from the calculation:
* energy relative to the lowest polymorph listed for this composition: 0 kJ/mol of formula units
* calculated volume: 233.28 Å³ per cell
* SG: No. 63
* uncorrected energy: -5.08 eV per atom

***

A plane-wave DFT calculation with PBE was carried out for an optimized crystal structure of Cu6SbPd12.

The structure in POSCAR format:
```
Cu6SbPd12
1.0
-0.3671 -6.8357 0.4918
6.1076 1.0042 -2.9650
1.0984 1.9532 6.4871
Cu Sb Pd
6 1 12
Direct
0.8287 0.8290 0.5772 Cu
0.4228 0.1713 0.1710 Cu
0.1710 0.4228 0.1713 Cu
0.1713 0.1710 0.4228 Cu
0.5772 0.8287 0.8290 Cu
0.8290 0.5772 0.8287 Cu
0.0000 0.0000 0.0000 Sb
0.8077 0.4222 0.4220 Pd
0.4220 0.8077 0.4222 Pd
0.4222 0.4220 0.8077 Pd
0.1923 0.5778 0.5780 Pd
0.5780 0.1923 0.5778 Pd
0.5778 0.5780 0.1923 Pd
0.9999 0.7381 0.2621 Pd
0.2619 0.7379 0.0001 Pd
0.7379 0.0001 0.2619 Pd
0.0001 0.2619 0.7379 Pd
0.7381 0.2621 0.9999 Pd
0.2621 0.9999 0.7381 Pd
```

Values from the calculation:
* energy relative to the lowest polymorph listed for this composition: 317 kJ/mol of formula units
* calculated volume: 293.90 Å³ per cell
* SG: No. 166
* uncorrected energy: -4.76 eV per atom

***

These records have magnetization values of 0.00, 0.00, 0.00, 0.00, 0.00, 0.00, 0.00, 0.00 μB per cell, in the order they appear.
These records have uncorrected formation energy values of -2.24, -0.99, -1.33, -1.64, 1.53, -0.79, -1.38, 0.51 eV/f.u., in the order they appear.